(1)
Crystalline Cs4LiNp3O12 at its relaxed geometry, computed with GGA-PBE.

Properties
ΔE_f (raw): -48.55 eV/f.u.
Crystal system: cubic

Cell: 7.681 7.681 7.681 Å, 109.47 109.47 109.47°
Element x y z (fractional)
Cs 0.000 0.000 0.500
Cs 0.000 0.500 0.000
Cs 0.500 0.000 0.000
Cs 0.500 0.500 0.500
Li 0.000 0.000 0.000
Np 0.000 0.500 0.500
Np 0.500 0.000 0.500
Np 0.500 0.500 0.000
O 0.000 0.287 0.287
O 0.000 0.713 0.713
O 0.250 0.500 0.750
O 0.250 0.750 0.500
O 0.287 0.000 0.287
O 0.287 0.287 0.000
O 0.500 0.250 0.750
O 0.500 0.750 0.250
O 0.713 0.000 0.713
O 0.713 0.713 0.000
O 0.750 0.250 0.500
O 0.750 0.500 0.250



(2)
Crystalline CsLiNpO3 at its relaxed geometry, computed with GGA-PBE.

Properties
ΔE_f (raw): -14.12 eV/f.u.
Crystal system: orthorhombic

Cell: 6.874 6.874 8.952 Å, 90.00 90.00 149.87°
Element x y z (fractional)
Cs 0.231 0.769 0.750
Cs 0.769 0.231 0.250
Li 0.045 0.955 0.250
Li 0.955 0.045 0.750
Np 0.500 0.500 0.000
Np 0.500 0.500 0.500
O 0.099 0.901 0.048
O 0.099 0.901 0.452
O 0.473 0.527 0.250
O 0.527 0.473 0.750
O 0.901 0.099 0.548
O 0.901 0.099 0.952



(3)
Crystalline CsLi4Np3O12 at its relaxed geometry, computed with GGA-PBE.

Properties
ΔE_f (raw): -48.82 eV/f.u.
Crystal system: trigonal

Cell: 7.195 7.195 7.195 Å, 106.41 106.41 106.41°
Element x y z (fractional)
Cs 0.000 0.000 0.000
Li 0.065 0.500 0.935
Li 0.500 0.500 0.500
Li 0.500 0.935 0.065
Li 0.935 0.065 0.500
Np 0.000 0.561 0.439
Np 0.439 0.000 0.561
Np 0.561 0.439 0.000
O 0.046 0.624 0.731
O 0.107 0.893 0.500
O 0.269 0.376 0.954
O 0.332 0.668 0.500
O 0.376 0.954 0.269
O 0.500 0.107 0.893
O 0.500 0.332 0.668
O 0.624 0.731 0.046
O 0.668 0.500 0.332
O 0.731 0.046 0.624
O 0.893 0.500 0.107
O 0.954 0.269 0.376



(4)
Crystalline Cs2LiNp2O7 at its relaxed geometry, computed with GGA-PBE.

Properties
ΔE_f (raw): -29.47 eV/f.u.
Crystal system: tetragonal

Cell: 12.366 12.366 12.366 Å, 159.94 159.94 28.52°
Element x y z (fractional)
Cs 0.189 0.189 0.000
Cs 0.811 0.811 0.000
Li 0.000 0.000 0.000
Np 0.413 0.413 0.000
Np 0.587 0.587 0.000
O 0.084 0.584 0.500
O 0.331 0.331 0.000
O 0.416 0.916 0.500
O 0.500 0.500 0.000
O 0.584 0.084 0.500
O 0.669 0.669 0.000
O 0.916 0.416 0.500



Looking at density of states at the Fermi level for the records above, in order, we have 11.4; 6.8; 10.7; 5.2 states/eV/f.u..
Looking at final energy for the records above, in order, we have -152.203; -89.402; -155.648; -93.675 eV for the cell shown.